An optimized crystal structure of RbNaMg2Pd. Source: the Alexandria database, functional PBE-GGA.

abc: 5.2083 5.2083 5.7959
angles: 90.00 90.00 90.00
Fractional positions:
Rb 0.0000 0.0000 0.0000
Na 0.5000 0.5000 0.0000
Mg 0.0000 0.5000 0.5000
Mg 0.5000 0.0000 0.5000
Pd 0.5000 0.5000 0.5000

Computed properties:
* E_tot: -2.24 eV per atom
* volume: 157.2 Å³/cell
* ρ: 2783 kg/m3

---

An optimized crystal structure of NaSrMg2Pd. Source: the Alexandria database, functional PBE-GGA.

abc: 5.1533 5.1533 5.4802
angles: 90.00 90.00 90.00
Fractional positions:
Na 0.0000 0.0000 0.0000
Sr 0.5000 0.5000 0.0000
Mg 0.0000 0.5000 0.5000
Mg 0.5000 0.0000 0.5000
Pd 0.0000 0.0000 0.5000

Computed properties:
* E_tot: -2.45 eV per atom
* volume: 145.5 Å³/cell
* ρ: 3031 kg/m3

---

An optimized crystal structure of NaSrMg2Pd. Source: the Alexandria database, functional PBE-GGA.

abc: 5.2410 5.2410 5.7371
angles: 90.00 90.00 90.00
Fractional positions:
Na 0.0000 0.0000 0.0000
Sr 0.5000 0.5000 0.0000
Mg 0.0000 0.5000 0.5000
Mg 0.5000 0.0000 0.5000
Pd 0.5000 0.5000 0.5000

Computed properties:
* E_tot: -2.48 eV per atom
* volume: 157.6 Å³/cell
* ρ: 2799 kg/m3

---

An optimized crystal structure of NaSr2MgPd. Source: the Alexandria database, functional PBE-GGA.

abc: 5.8856 5.8856 5.5271
angles: 90.00 90.00 90.00
Fractional positions:
Na 0.0000 0.0000 0.0000
Sr 0.0000 0.5000 0.5000
Sr 0.5000 0.0000 0.5000
Mg 0.5000 0.5000 0.0000
Pd 0.0000 0.0000 0.5000

Computed properties:
* E_tot: -2.40 eV per atom
* volume: 191.5 Å³/cell
* ρ: 2853 kg/m3